Here is NiAg2O2 after structural relaxation from Alexandria. Energies are from PBE+U.

a b c (Å): 3.027 3.027 23.413
angles (deg): 90.00 90.00 120.00
Element x y z (fractional)
Ni1 0.000 0.000 0.000
Ni2 0.333 0.667 0.667
Ni3 0.667 0.333 0.333
Ag1 0.000 0.000 0.215
Ag2 0.000 0.000 0.785
Ag3 0.333 0.667 0.452
Ag4 0.333 0.667 0.882
Ag5 0.667 0.333 0.118
Ag6 0.667 0.333 0.548
O1 0.000 0.000 0.380
O2 0.000 0.000 0.620
O3 0.333 0.667 0.047
O4 0.333 0.667 0.287
O5 0.667 0.333 0.713
O6 0.667 0.333 0.953

Summary:
E, eV/atom: -4.061
Space group: R-3m (166)